Density functional theory data (GGA-PBE) for a geometry-optimized ErFeAs structure.

Properties
Formation energy   -741 meV/atom
Energy   -6.632 eV/atom
D(E_F)   4.51 states/eV per cell
Space-group type   No. 129

a b c (Å): 3.971 3.971 6.631
angles (deg): 90.00 90.00 90.00
Sites, in units of the cell vectors:
Er  0.250  0.250  0.184
Er  0.750  0.750  0.816
Fe  0.250  0.750  0.500
Fe  0.750  0.250  0.500
As  0.250  0.250  0.706
As  0.750  0.750  0.294